# 1
DFT (SCAN) results for a PBEsol-optimized structure of TcAs2SeBr.

Summary:
- Symmetry: No. 123
- Energy relative to the elements, uncorrected: 29.46 kcal/mol of atoms
- Offset from the most stable computed form: 771.6 meV/atom
- E_tot: -108.6 eV/cell
- N(E_F): 3.51 states/eV per cell

POSCAR file:
```
TcAs2SeBr
1.0
4.9951 0.0000 0.0000
0.0000 4.9639 0.0000
0.0000 0.0000 4.9639
As Se Tc Br
2 1 1 1
direct
0.0000 0.0000 0.5000
0.0000 0.5000 0.0000
0.0000 0.0000 0.0000
0.5000 0.5000 0.5000
0.5000 0.0000 0.0000
```

***

# 2
DFT (SCAN) results for a PBEsol-optimized structure of KReAu.

Summary:
- Symmetry: No. 216
- E_tot: -143.5 eV/cell
- N(E_F): 2.14 states/eV per cell
- ΔE_f: 5.06 eV per formula unit

POSCAR file:
```
KReAu
1.0
4.7902 0.0000 0.0000
2.3951 4.1484 0.0000
2.3951 1.3828 3.9112
Au K Re
1 1 1
direct
0.2500 0.2500 0.2500
0.0000 0.0000 0.0000
0.5000 0.5000 0.5000
```

***

# 3
DFT (SCAN) results for a PBEsol-optimized structure of Co2ReAu.

Summary:
- Symmetry: No. 65
- Offset from the most stable computed form: 92.7 meV/atom
- E_tot: -173.5 eV/cell
- N(E_F): 3.80 states/eV per cell
- ΔE_f: 1.40 eV per formula unit

POSCAR file:
```
Co2ReAu
1.0
-1.3197 -1.0676 -2.0447
1.1847 -4.0964 1.3743
-3.8873 0.9159 2.0306
Re Au Co
1 1 2
direct
0.5000 0.0000 0.0000
0.5000 0.5000 0.5000
0.0000 0.5000 0.0000
0.0000 0.0000 0.5000
```

***

# 4
DFT (SCAN) results for a PBEsol-optimized structure of La2ZnIn.

Summary:
- Symmetry: No. 123
- E_tot: -135.1 eV/cell
- N(E_F): 4.89 states/eV per cell
- ΔE_f: -1.99 eV per formula unit

POSCAR file:
```
La2ZnIn
1.0
-0.3294 0.8422 -3.7150
-1.6604 -5.0073 -0.9880
-5.0835 1.5264 0.7968
Zn In La
1 1 2
direct
0.5000 0.0000 0.0000
0.5000 0.5000 0.5000
0.0000 0.5000 0.0000
0.0000 0.0000 0.5000
```